Material: Mg5GaPd3
Method: DFT, PBE
State: optimized geometry

Computed properties:
Energy relative to the elements in meV/atom: -411.5
Total DFT energy (no corrections) in eV/f.u.: -30.28
Space group: C2/m (12)
N(E_F) in states/eV per cell: 5.5
Spin magnetization in μB per atom: 0.000

Cell: 6.7312 6.7312 10.6017 Å, 64.25 64.25 91.64°
Sites, in units of the cell vectors:
Pd: 0.6710 0.6710 0.3325
Pd: 0.0000 0.0000 0.0000
Ga: 0.9938 0.9938 0.2462
Mg: 0.6701 0.6701 0.5805
Mg: 0.6710 0.6710 0.0829
Ga: 0.0062 0.0062 0.7538
Mg: 0.6311 0.1043 0.6790
Pd: 0.3242 0.3242 0.1674
Pd: 0.3290 0.3290 0.6675
Pd: 0.0000 0.0000 0.5000
Mg: 0.7346 0.2654 0.0000
Mg: 0.3299 0.3299 0.4195
Mg: 0.3290 0.3290 0.9171
Mg: 0.8957 0.3689 0.3210
Mg: 0.1043 0.6311 0.6790
Pd: 0.6758 0.6758 0.8326
Mg: 0.2654 0.7346 0.0000
Mg: 0.3689 0.8957 0.3210